(1)
Crystalline PrYZn2As2O2 at its relaxed geometry. Source: OQMD, functional PBE.

Results
Magnetic moment   0.000 μB/atom
Total energy   -5.91 eV/atom

Unit cell a=4.013 b=4.013 c=8.977 alpha=90.00 beta=90.00 gamma=90.00
Fractional coordinates of all 8 atoms:
1 Pr 0.000 0.000 0.000
2 Y 0.500 0.500 0.745
3 Zn 0.000 0.500 0.369
4 Zn 0.500 0.000 0.369
5 As 0.000 0.000 0.546
6 As 0.500 0.500 0.189
7 O 0.000 0.500 0.860
8 O 0.500 0.000 0.860


(2)
Crystalline MgBeZnIn at its relaxed geometry. Source: OQMD, functional PBE.

Results
Total energy   -2.02 eV/atom

Unit cell a=4.622 b=4.622 c=4.622 alpha=60.00 beta=60.00 gamma=60.00
Fractional coordinates of all 4 atoms:
1 Mg 0.000 0.000 0.000
2 Be 0.250 0.250 0.250
3 Zn 0.750 0.750 0.750
4 In 0.500 0.500 0.500